A plane-wave DFT calculation with PBE was carried out for a geometry-optimized ErHfIrO6 structure.

The value obtained for the uncorrected formation energy is -2390 meV per atom.

The space group is P-31c (No. 163) and the conventional cell measures 5.2777, 5.2777 and 9.7473 Å, with angles of 90.00, 90.00 and 120.00 degrees. The asymmetric unit holds Er at (0.0000, 0.0000, 0.0000), Hf at (0.3333, 0.6667, 0.2500), Ir at (0.3333, 0.6667, 0.7500) and O at (0.0136, 0.3562, 0.6366).